# 1
Computed, not measured: a geometry-optimized Al2CrGe2 structure at the PBE level of DFT.

Output
Energy of formation in meV per atom: 202
V in Å³/atom: 15.69

```
10
Lattice="6.489 0.000 0.000 0.000 6.489 0.000 0.000 0.000 3.726" Properties=species:S:1:pos:R:3 pbc="T T T"
Al 1.061 2.183 0.000
Al 2.183 5.428 0.000
Al 4.305 1.061 0.000
Al 5.428 4.305 0.000
Cr 0.000 0.000 1.863
Cr 3.244 3.244 1.863
Ge 0.943 4.187 1.863
Ge 2.302 0.943 1.863
Ge 4.187 5.546 1.863
Ge 5.546 2.302 1.863
```

# 2
Computed, not measured: a geometry-optimized TbSm2Y4Mg structure at the PBE level of DFT.

Output
Energy of formation in meV per atom: 25
V in Å³/atom: 31.61

```
8
Lattice="4.995 0.000 0.000 0.000 4.995 0.000 0.000 0.000 10.139" Properties=species:S:1:pos:R:3 pbc="T T T"
Tb 0.000 0.000 0.000
Sm 0.000 0.000 5.069
Sm 2.497 2.497 0.000
Y 0.000 2.497 2.558
Y 0.000 2.497 7.580
Y 2.497 0.000 2.558
Y 2.497 0.000 7.580
Mg 2.497 2.497 5.069
```

# 3
Computed, not measured: a geometry-optimized YGa4Pd2Pt structure at the PBE level of DFT.

Output
Energy of formation in meV per atom: -654
V in Å³/atom: 17.48

```
8
Lattice="2.154 1.243 8.703 -2.154 1.243 8.703 0.000 -2.487 8.703" Properties=species:S:1:pos:R:3 pbc="T T T"
Y 0.000 0.000 0.000
Ga 0.000 0.000 3.428
Ga 0.000 0.000 10.367
Ga 0.000 0.000 15.742
Ga 0.000 0.000 22.682
Pd 0.000 0.000 6.389
Pd 0.000 0.000 19.720
Pt 0.000 0.000 13.055
```

- What is the V in the third record?
  17.48 Å³/atom